Below is a geometry-optimized PmSc2Zn9 structure, with properties calculated at the PBE level.

abc: 8.992 8.992 8.992
angles: 34.52 34.52 34.52
Atoms (fractional coordinates):
Pm1 0.000 0.000 0.000
Sc1 0.143 0.143 0.143
Sc2 0.857 0.857 0.857
Zn1 0.078 0.590 0.590
Zn2 0.335 0.335 0.335
Zn3 0.410 0.410 0.922
Zn4 0.410 0.922 0.410
Zn5 0.500 0.500 0.500
Zn6 0.590 0.078 0.590
Zn7 0.590 0.590 0.078
Zn8 0.665 0.665 0.665
Zn9 0.922 0.410 0.410

Summary:
For the total energy, the calculation gives -2.730 eV per atom. The density of states at the Fermi level comes out at 7.15 states/eV per cell. Its total magnetization is 0.0001 μB per atom. As for the space group: R-3m (166). The formation energy is -0.324 eV/atom.